The following is a GGA-PBE calculation of a geometry-optimized MnTcCl2 structure, from the Alexandria database.

Summary:
- Uncorrected formation energy: 0.0907 eV/atom
- Calculated density: 4.1 Mg/m³
- Relative energy among the computed polymorphs: 288 meV per atom

Unit cell a=6.9815 b=6.9815 c=4.4440 alpha=85.36 beta=85.36 gamma=24.83
Last column: magnetic moment on the atom in μB.
Sites, in units of the cell vectors:
Cl 0.1124 0.1124 0.9656  0.04
Cl 0.3876 0.3876 0.5344  0.04
Tc 0.2500 0.2500 0.2500  0.66
Mn 0.7500 0.7500 0.7500  3.48